1.
Ba2TcAs: single point on PBEsol structure, meta-GGA SCAN.

## Properties
- Density of states at the Fermi level: 2.6 states/eV per cell
- Total magnetic moment: 0.40 μB/f.u.
- Energy of formation from the pure elements: 0.04 eV/f.u.
- Energy: -134.32 eV/cell
- Space-group type: P4mm (99)

Lattice parameters (Å, degrees): 3.4237 3.4237 9.6178 90.00 90.00 90.00
Fractional coordinates of all 4 atoms:
1 Ba 0.0000 0.0000 0.0000
2 Ba 0.5000 0.5000 0.4166
3 Tc 0.0000 0.0000 0.6615
4 As 0.5000 0.5000 0.7595

---

2.
Sc5Ru3: single point on PBEsol structure, meta-GGA SCAN.

## Properties
- Density of states at the Fermi level: 11.4 states/eV per cell
- Energy above the most stable polymorph in this dataset: 0.000 eV/atom
- Total magnetic moment: 0.00 μB/f.u.
- Energy of formation from the pure elements: -4.26 eV/f.u.
- Energy: -359.84 eV/cell
- Space-group type: P6_3/mcm (193)

Lattice parameters (Å, degrees): 7.6473 7.6473 5.7568 90.00 90.00 120.00
Fractional coordinates of all 16 atoms:
1 Sc 0.0000 0.2572 0.2500
2 Sc 0.0000 0.7428 0.7500
3 Sc 0.2572 0.0000 0.2500
4 Sc 0.2572 0.2572 0.7500
5 Sc 0.3333 0.6667 0.0000
6 Sc 0.3333 0.6667 0.5000
7 Sc 0.6667 0.3333 0.0000
8 Sc 0.6667 0.3333 0.5000
9 Sc 0.7428 0.0000 0.7500
10 Sc 0.7428 0.7428 0.2500
11 Ru 0.0000 0.3978 0.7500
12 Ru 0.0000 0.6022 0.2500
13 Ru 0.3978 0.0000 0.7500
14 Ru 0.3978 0.3978 0.2500
15 Ru 0.6022 0.0000 0.2500
16 Ru 0.6022 0.6022 0.7500

---

3.
Sb3RuPb: single point on PBEsol structure, meta-GGA SCAN.

## Properties
- Density of states at the Fermi level: 5.4 states/eV per cell
- Formation energy from raw total energies: 1789 meV per atom
- Total magnetic moment: 2.52 μB/f.u.
- Energy: -213.45 eV/cell
- Space-group type: Pm-3m (221)

Lattice parameters (Å, degrees): 5.5553 5.5553 5.5553 90.00 90.00 90.00
Fractional coordinates of all 5 atoms:
1 Sb 0.0000 0.0000 0.5000
2 Sb 0.0000 0.5000 0.0000
3 Sb 0.5000 0.0000 0.0000
4 Ru 0.5000 0.5000 0.5000
5 Pb 0.0000 0.0000 0.0000

---

4.
ZnFe2Si: single point on PBEsol structure, meta-GGA SCAN.

## Properties
- Density of states at the Fermi level: 3.0 states/eV per cell
- Formation energy from raw total energies: -67 meV per atom
- Total magnetic moment: 1.47 μB/f.u.
- Energy: -60.06 eV/cell
- Space-group type: P4/mmm (123)

Lattice parameters (Å, degrees): 2.7601 2.7601 5.7339 90.00 90.00 90.00
Fractional coordinates of all 4 atoms:
1 Zn 0.0000 0.0000 0.0000
2 Fe 0.5000 0.5000 0.2749
3 Fe 0.5000 0.5000 0.7251
4 Si 0.0000 0.0000 0.5000